No. 1
TlSn2Bi | Alexandria via LeMat-Bulk | PBE | optimized geometry; formation energy from the elements = 0.08 eV/atom; symmetry = No. 225; polymorph energy (0 for the lowest one) = 28 meV/atom; density = 9.011 g cm⁻³
1.0
-3.891 -3.756 1.179
-5.332 1.149 -0.943
-2.702 -2.564 -4.094
Bi Sn Tl
1 2 1
direct
0.500 0.500 0.500 Bi
0.250 0.250 0.250 Sn
0.750 0.750 0.750 Sn
0.000 0.000 0.000 Tl

=====

No. 2
Cu6RhAu2 | Alexandria via LeMat-Bulk | PBE | optimized geometry; formation energy from the elements = 0.05 eV/atom; symmetry = No. 38; polymorph energy (0 for the lowest one) = 23 meV/atom; density = 11.649 g cm⁻³
1.0
-1.742 -2.052 -0.255
3.088 -3.303 5.562
-2.741 1.535 6.443
Cu Au Rh
6 2 1
direct
0.889 0.675 0.990 Cu
0.389 0.000 0.358 Cu
0.889 0.990 0.675 Cu
0.389 0.358 0.000 Cu
0.389 0.284 0.690 Cu
0.389 0.690 0.284 Cu
0.889 0.637 0.637 Au
0.889 0.340 0.340 Au
0.888 0.026 0.026 Rh